(1)
First-principles (PBE) data for Cr2SeS2 after structural relaxation, as listed in the Alexandria database.

```
Cr2SeS2
1.0
7.038 0.000 0.000
0.000 7.038 0.000
0.000 0.000 3.107
Cr Se S
4 2 4
Cartesian
0.970 2.549 0.000 Cr
2.549 6.068 0.000 Cr
4.489 0.970 0.000 Cr
6.068 4.489 0.000 Cr
0.000 0.000 0.000 Se
3.519 3.519 0.000 Se
0.966 4.485 1.553 S
2.553 0.966 1.553 S
4.485 6.071 1.553 S
6.071 2.553 1.553 S
```

Calculated values
Energy above the most stable polymorph in this dataset ... 417 meV/atom

(2)
First-principles (PBE) data for Cr2SeS2 after structural relaxation, as listed in the Alexandria database.

```
Cr2SeS2
1.0
-1.760 2.379 5.730
1.760 -2.379 5.730
1.760 2.379 -5.730
Cr Se S
2 1 2
Cartesian
0.000 0.000 1.843 Cr
0.000 0.000 9.617 Cr
1.760 0.000 0.000 Se
1.760 0.000 3.453 S
0.000 2.379 2.277 S
```

Calculated values
Energy above the most stable polymorph in this dataset ... 0 meV/atom

(3)
First-principles (PBE) data for Cr3Se3S after structural relaxation, as listed in the Alexandria database.

```
Cr3Se3S
1.0
4.077 -5.678 0.000
4.077 5.678 0.000
-2.950 0.000 5.980
Cr Se S
6 6 2
Cartesian
-0.171 0.000 1.753 Cr
2.238 1.822 1.412 Cr
2.965 1.822 4.568 Cr
2.238 -1.822 1.412 Cr
2.965 -1.822 4.568 Cr
5.374 0.000 4.227 Cr
2.602 3.765 2.990 Se
4.077 2.806 0.000 Se
1.249 0.000 3.706 Se
3.954 0.000 2.275 Se
4.077 -2.806 0.000 Se
2.602 -3.765 2.990 Se
1.622 0.000 0.125 S
3.581 0.000 5.855 S
```

(4)
First-principles (PBE) data for Cr2SeS2 after structural relaxation, as listed in the Alexandria database.

```
Cr2SeS2
1.0
-1.984 1.984 5.717
1.984 -1.984 5.717
1.984 1.984 -5.717
Cr Se S
2 1 2
Cartesian
0.000 0.000 1.533 Cr
0.000 0.000 9.901 Cr
0.000 0.000 5.717 Se
1.984 0.000 2.858 S
0.000 1.984 2.858 S
```

Calculated values
Energy above the most stable polymorph in this dataset ... 513 meV/atom

| no. | D(E_F) (states/eV/atom) | formation energy from raw total energies (eV per formula unit) |
| --- | --- | --- |
| 1 | 0.703 | -0.7 |
| 2 | 0.227 | -2.8 |
| 3 | 0.360 | -2.0 |
| 4 | 0.317 | -0.2 |